A plane-wave DFT calculation with PBE was carried out for crystalline SmDy2Tl2Ag2 at its relaxed geometry.

Cell lengths 4.922, 4.922, 9.118 Å; angles 74.34, 74.34, 60.00 degrees
Positions (direct):
1 Sm 0.000 0.000 0.000
2 Dy 0.133 0.133 0.601
3 Dy 0.867 0.867 0.399
4 Tl 0.736 0.736 0.793
5 Tl 0.264 0.264 0.207
6 Ag 0.564 0.564 0.307
7 Ag 0.436 0.436 0.693

Symmetry   No. 166
Total magnetic moment   0.0 μB/cell
ρ   10.0 Mg/m³
ΔE_f   -171 meV per atom